1.
Entry from the Alexandria database: SrZr2Tc at its PBEsol-relaxed geometry (meta-GGA SCAN).

a = 3.3245 Å, b = 3.3245 Å, c = 29.9687 Å
α = 90.00°, β = 90.00°, γ = 120.00°
Space group R-3m (No. 166, hexagonal axes)
One atom of each set of equivalent atoms:
Sr: 0.0000 0.0000 0.0000
Zr: 0.0000 0.0000 0.2293
Tc: 0.0000 0.0000 0.5000

Computed properties:
Raw total energy ... -29.38 eV/atom
Calculated formation energy ... 1.2 eV per formula unit

=====

2.
Entry from the Alexandria database: SrZrTc2 at its PBEsol-relaxed geometry (meta-GGA SCAN).

a = 3.091 Å, b = 3.091 Å, c = 8.824 Å
α = 90.00°, β = 90.00°, γ = 90.00°
Space group P4mm (No. 99)
One atom of each set of equivalent atoms:
Sr: 0.000 0.000 0.000
Zr: 0.500 0.500 0.632
Tc: 0.000 0.000 0.420
Tc: 0.500 0.500 0.273

Computed properties:
Raw total energy ... -30.49 eV/atom
Calculated formation energy ... 1.1 eV per formula unit

=====

3.
Entry from the Alexandria database: SrZrTc2 at its PBEsol-relaxed geometry (meta-GGA SCAN).

a = 6.714 Å, b = 6.714 Å, c = 6.714 Å
α = 90.00°, β = 90.00°, γ = 90.00°
Space group Fm-3m (No. 225)
One atom of each set of equivalent atoms:
Sr: 0.000 0.000 0.000
Zr: 0.000 0.000 0.500
Tc: 0.250 0.250 0.250

Computed properties:
Raw total energy ... -30.10 eV/atom
Calculated formation energy ... 2.7 eV per formula unit

=====

4.
Entry from the Alexandria database: Sr2ZrTc at its PBEsol-relaxed geometry (meta-GGA SCAN).

a = 3.055 Å, b = 5.323 Å, c = 6.009 Å
α = 90.00°, β = 90.00°, γ = 90.00°
Space group Pmmm (No. 47)
One atom of each set of equivalent atoms:
Sr: 0.000 0.000 0.239
Zr: 0.500 0.500 0.500
Tc: 0.500 0.500 0.000

Computed properties:
Raw total energy ... -26.60 eV/atom
Calculated formation energy ... 3.9 eV per formula unit

=====

5.
Entry from the Alexandria database: Sr2ZrTc at its PBEsol-relaxed geometry (meta-GGA SCAN).

a = 3.5758 Å, b = 3.5758 Å, c = 31.9076 Å
α = 90.00°, β = 90.00°, γ = 120.00°
Space group R3m (No. 160, hexagonal axes)
One atom of each set of equivalent atoms:
Sr: 0.0000 0.0000 0.0000
Sr: 0.0000 0.0000 0.2180
Zr: 0.0000 0.0000 0.7628
Tc: 0.0000 0.0000 0.4792

Computed properties:
Raw total energy ... -27.09 eV/atom
Calculated formation energy ... 2.0 eV per formula unit

=====

6.
Entry from the Alexandria database: Sr2ZrTc at its PBEsol-relaxed geometry (meta-GGA SCAN).

a = 3.084 Å, b = 5.360 Å, c = 5.955 Å
α = 90.00°, β = 97.12°, γ = 90.00°
Space group P2/m (No. 10)
One atom of each set of equivalent atoms:
Sr: 0.042 0.000 0.260
Zr: 0.500 0.500 0.000
Tc: 0.500 0.500 0.500

Computed properties:
Raw total energy ... -26.60 eV/atom
Calculated formation energy ... 3.9 eV per formula unit

=====

7.
Entry from the Alexandria database: SrZrTc at its PBEsol-relaxed geometry (meta-GGA SCAN).

a = 6.640 Å, b = 6.640 Å, c = 6.640 Å
α = 90.00°, β = 90.00°, γ = 90.00°
Space group F-43m (No. 216)
One atom of each set of equivalent atoms:
Sr: 0.000 0.000 0.000
Zr: 0.000 0.000 0.500
Tc: 0.250 0.250 0.250

Computed properties:
Raw total energy ... -28.60 eV/atom
Calculated formation energy ... 2.2 eV per formula unit

=====

8.
Entry from the Alexandria database: SrZr2Tc at its PBEsol-relaxed geometry (meta-GGA SCAN).

a = 3.421 Å, b = 4.831 Å, c = 11.281 Å
α = 90.00°, β = 90.00°, γ = 90.00°
Space group Imm2 (No. 44)
One atom of each set of equivalent atoms:
Sr: 0.000 0.000 0.000
Zr: 0.000 0.000 0.396
Zr: 0.000 0.500 0.213
Tc: 0.000 0.500 0.731

Computed properties:
Raw total energy ... -29.39 eV/atom
Calculated formation energy ... 1.2 eV per formula unit